(1)
Entry from Alexandria via LeMat-Bulk: a geometry-optimized TbPuSe3 structure (PBE).

```
data_TbPuSe3
_chemical_formula_sum 'Tb4 Pu4 Se12'
_symmetry_space_group_name_H-M 'P n m a'
_symmetry_Int_Tables_number 62
_cell_length_a 11.2504
_cell_length_b 4.0776
_cell_length_c 10.9109
_cell_angle_alpha 90.00
_cell_angle_beta 90.00
_cell_angle_gamma 90.00
loop_
_symmetry_equiv_pos_as_xyz
'x,y,z'
'-x,-y,-z'
'-x+1/2,-y,z+1/2'
'x+1/2,y,-z+1/2'
'x+1/2,-y+1/2,-z+1/2'
'-x+1/2,y+1/2,z+1/2'
'-x,y+1/2,-z'
'x,-y+1/2,z'
loop_
_atom_site_label
_atom_site_type_symbol
_atom_site_fract_x
_atom_site_fract_y
_atom_site_fract_z
_atom_site_occupancy
Tb1 Tb 0.1921 0.2500 0.0051 1
Pu1 Pu 0.0064 0.2500 0.6871 1
Se1 Se 0.0484 0.7500 0.8743 1
Se2 Se 0.1232 0.2500 0.4439 1
Se3 Se 0.2297 0.7500 0.1993 1
```

calculated density = 8.490 Mg/m³
DFT total energy = -7.54 eV/atom
M_tot = 4.999 μB/f.u.
crystal system = orthorhombic
energy above the lowest structure with this stoichiometry = 0 meV per atom
raw formation energy = -1.6614 eV per atom



(2)
Entry from Alexandria via LeMat-Bulk: a geometry-optimized Tb3PuSe4 structure (PBE).

```
data_Tb3PuSe4
_chemical_formula_sum 'Tb6 Pu2 Se8'
_symmetry_space_group_name_H-M 'I 4/m m m'
_symmetry_Int_Tables_number 139
_symmetry_space_group_name_Hall '-I 4 2'
_cell_length_a 5.8008
_cell_length_b 5.8008
_cell_length_c 11.6297
_cell_angle_alpha 90.00
_cell_angle_beta 90.00
_cell_angle_gamma 90.00
loop_
_atom_site_label
_atom_site_type_symbol
_atom_site_fract_x
_atom_site_fract_y
_atom_site_fract_z
_atom_site_occupancy
Tb1 Tb 0.0000 0.0000 0.0000 1
Tb2 Tb 0.0000 0.5000 0.2500 1
Pu1 Pu 0.0000 0.0000 0.5000 1
Se1 Se 0.0000 0.0000 0.2490 1
Se2 Se 0.0000 0.5000 0.0000 1
```

calculated density = 8.797 Mg/m³
DFT total energy = -7.01 eV/atom
M_tot = 6.018 μB/f.u.
crystal system = tetragonal
energy above the lowest structure with this stoichiometry = 0 meV per atom
raw formation energy = -1.7373 eV per atom